Material: YBeIr
Method: DFT, meta-GGA SCAN
State: single point on PBEsol structure

a = 3.0855 Å, b = 3.0855 Å, c = 9.9962 Å
α = 90.00°, β = 90.00°, γ = 90.00°
With the nearest neighbours (Å) after each atom.
Space group I4mm (No. 107)
Unique sites:
Y 0.0000 0.0000 0.0000  5 Be 2.91-3.02, 5 Ir 2.96-2.99, 4 Y 3.09
Be 0.0000 0.0000 0.7088  4 Ir 2.35
Ir 0.0000 0.0000 0.2961  4 Be 2.35

Results
V, Å³/atom: 15.9
ΔE_f, eV per atom: -0.614
Offset from the most stable computed form, kJ/mol of atoms: 19.62

=====

Material: AgAu2Cl
Method: DFT, meta-GGA SCAN
State: single point on PBEsol structure

a = 5.4652 Å, b = 9.0770 Å, c = 2.8508 Å
α = 90.00°, β = 90.00°, γ = 90.00°
With the nearest neighbours (Å) after each atom.
Space group Cmmm (No. 65)
Unique sites:
Ag 0.0000 0.0000 0.0000  2 Cl 2.73, 2 Ag 2.85, 8 Au 3.01
Au 0.2500 0.2500 0.5000  4 Au 2.73-2.85, 4 Cl 3.01, 4 Ag 3.01
Cl 0.0000 0.5000 0.0000  2 Ag 2.73, 2 Cl 2.85, 8 Au 3.01

Results
Formation energy from raw total energies, eV/f.u.: 0.9
V, Å³/atom: 17.7
Offset from the most stable computed form, kJ/mol of atoms: 23.41

=====

Material: SrZn2As
Method: DFT, meta-GGA SCAN
State: single point on PBEsol structure

a = 4.1871 Å, b = 4.1871 Å, c = 17.3900 Å
α = 90.00°, β = 90.00°, γ = 120.00°
With the nearest neighbours (Å) after each atom.
Space group R3m (No. 160, hexagonal axes)
Unique sites:
Sr 0.0000 0.0000 0.0000  3 Zn 3.11, 3 As 3.15
Zn 0.0000 0.0000 0.2210  3 Zn 2.56
Zn 0.0000 0.0000 0.5061  3 Zn 2.56, 3 As 2.61
As 0.0000 0.0000 0.7827  3 Zn 2.61

Results
V, Å³/atom: 22.0
ΔE_f, eV per atom: -0.450

=====

Material: KMn6O12
Method: DFT, meta-GGA SCAN
State: single point on PBEsol structure

a = 9.7375 Å, b = 9.7375 Å, c = 8.4789 Å
α = 90.00°, β = 90.00°, γ = 90.00°
With the nearest neighbours (Å) after each atom.
Space group I4/m (No. 87)
Unique sites:
K 0.0000 0.0000 0.2080  4 O 2.70
Mn 0.1514 0.6670 0.1664  6 O 1.87-1.92
Mn 0.1515 0.6672 0.5000  6 O 1.88-1.92
O 0.0414 0.3318 0.1673  3 Mn 1.87-1.88
O 0.0412 0.3362 0.5000  3 Mn 1.87-1.88
O 0.1538 0.8004 0.0000  3 Mn 1.92
O 0.1553 0.7986 0.3339  3 Mn 1.90-1.91

Results
Formation energy from raw total energies, eV/f.u.: -41.7
V, Å³/atom: 10.6